Computed, not measured: a crystal of Mn3O5F relaxed with PBEsol at the SCAN level of DFT.

Summary:
Magnetic moment = 10.00 μB per formula unit
Total energy = -12.15 eV/atom
Crystal system = monoclinic
Formation energy from raw total energies = -2205 meV/atom
DOS(E_F) = 0.22 states/eV per atom
Polymorph energy (0 for the lowest one) = 0.078 eV/f.u.

Unit cell a=5.3297 b=5.3297 c=7.0592 alpha=108.86 beta=108.86 gamma=71.10
Element x y z (fractional)
Mn  0.0000  0.0000  0.0000
Mn  0.0000  0.0000  0.5000
Mn  0.3180  0.3180  0.3232
Mn  0.3277  0.3277  0.8455
Mn  0.6723  0.6723  0.1545
Mn  0.6820  0.6820  0.6768
O  0.0261  0.6338  0.3335
O  0.0969  0.0969  0.2933
O  0.2283  0.2283  0.0365
O  0.3060  0.6940  0.0000
O  0.3662  0.9739  0.6665
O  0.6338  0.0261  0.3335
O  0.6940  0.3060  0.0000
O  0.7717  0.7717  0.9635
O  0.9031  0.9031  0.7067
O  0.9739  0.3662  0.6665
F  0.4377  0.4377  0.6322
F  0.5623  0.5623  0.3678